Record 1
A relaxed Ho6Er5Th crystal, computed with PBE.

Mass density ... 9109 kg/m3
Density of states at the Fermi level ... 21.6 states/eV/cell
Total magnetic moment ... 0.000 Bohr magnetons per cell
Energy ... -4.686 eV per atom

Structure (POSCAR):
```
Ho6Er5Th
1.0
9.835 -0.526 -1.777
-5.631 8.080 -1.777
-0.749 -1.346 5.537
Ho Er Th
6 5 1
Direct
0.750 0.750 0.250
0.250 0.250 0.750
0.572 0.932 0.752
0.068 0.428 0.248
0.932 0.572 0.752
0.428 0.068 0.248
0.655 0.345 0.000
0.500 0.500 0.500
0.154 0.846 0.500
0.846 0.154 0.500
0.345 0.655 0.000
0.000 0.000 0.000
```



Record 2
A relaxed Ho12Er5Th2 crystal, computed with PBE.

Mass density ... 8917 kg/m3
ΔE to the lowest computed polymorph ... 126 meV/atom
Density of states at the Fermi level ... 28.1 states/eV/cell
Total magnetic moment ... 0.000 Bohr magnetons per cell
Energy ... -4.722 eV per atom

Structure (POSCAR):
```
Ho12Er5Th2
1.0
9.312 0.000 0.000
-4.656 11.217 -1.716
0.000 -5.209 6.643
Er Ho Th
5 12 2
Direct
0.000 0.000 0.500
0.305 0.609 0.622
0.232 0.465 0.889
0.695 0.391 0.378
0.768 0.535 0.111
0.975 0.308 0.066
0.565 0.746 0.402
0.443 0.885 0.211
0.557 0.115 0.789
0.666 0.692 0.934
0.025 0.692 0.934
0.819 0.254 0.598
0.334 0.308 0.066
0.435 0.254 0.598
0.088 0.177 0.294
0.912 0.823 0.706
0.181 0.746 0.402
0.320 0.000 0.000
0.680 0.000 0.000
```



Record 3
A relaxed Ho2ErTh crystal, computed with PBE.

Mass density ... 9674 kg/m3
ΔE to the lowest computed polymorph ... 8 meV/atom
Density of states at the Fermi level ... 5.3 states/eV/cell
Total magnetic moment ... 0.000 Bohr magnetons per cell
Energy ... -5.251 eV per atom

Structure (POSCAR):
```
Ho2ErTh
1.0
3.546 0.000 0.000
1.773 3.071 0.000
1.773 1.024 11.494
Th Ho Er
1 2 1
Direct
0.501 0.501 0.498
0.082 0.082 0.753
0.251 0.251 0.248
0.666 0.666 0.001
```



It is found that the formation energy from the elements values, taken in the order of the records, are 11.83, 14.56, 3.26 kJ per mole of atoms.